This record from Alexandria via LeMat-Bulk describes a relaxed structure of LiAg3Mo. The functional is PBE. Values from VASP.

Cell and atoms, written as Quantum ESPRESSO input:
```
&SYSTEM
  ibrav = 0, nat = 5, ntyp = 3
/
ATOMIC_SPECIES
Li 6.94 Li.upf
Ag 107.87 Ag.upf
Mo 95.94 Mo.upf
ATOMIC_POSITIONS crystal
Li 0.000 0.000 0.000
Ag 0.000 0.500 0.500
Ag 0.500 0.000 0.500
Ag 0.500 0.500 0.000
Mo 0.500 0.500 0.500
CELL_PARAMETERS angstrom
5.124 0.000 0.000
0.000 5.124 0.000
0.000 0.000 5.124
```

Results
The formation energy is 1.26 eV/atom. The energy above the most stable polymorph in this dataset comes out at 0.3439 eV/atom.



This record from Alexandria via LeMat-Bulk describes a relaxed structure of LiAg2Mo. The functional is PBE. Values from VASP.

Cell and atoms, written as Quantum ESPRESSO input:
```
&SYSTEM
  ibrav = 0, nat = 4, ntyp = 3
/
ATOMIC_SPECIES
Li 6.94 Li.upf
Ag 107.87 Ag.upf
Mo 95.94 Mo.upf
ATOMIC_POSITIONS crystal
Li 0.000 0.000 0.000
Ag 0.500 0.500 0.000
Ag 0.750 0.250 0.500
Mo 0.250 0.750 0.500
CELL_PARAMETERS angstrom
-2.011 2.011 4.211
2.011 -2.011 4.211
2.011 2.011 -4.211
```

Results
The formation energy is 0.58 eV/atom. The energy above the most stable polymorph in this dataset comes out at 0.3624 eV/atom.



This record from Alexandria via LeMat-Bulk describes a relaxed structure of LiAg3Mo. The functional is PBE. Values from VASP.

Cell and atoms, written as Quantum ESPRESSO input:
```
&SYSTEM
  ibrav = 0, nat = 5, ntyp = 3
/
ATOMIC_SPECIES
Li 6.94 Li.upf
Ag 107.87 Ag.upf
Mo 95.94 Mo.upf
ATOMIC_POSITIONS crystal
Li 0.000 0.000 0.000
Ag 0.000 0.000 0.500
Ag 0.000 0.500 0.000
Ag 0.500 0.000 0.000
Mo 0.500 0.500 0.500
CELL_PARAMETERS angstrom
4.386 0.000 0.000
0.000 4.386 0.000
0.000 0.000 4.386
```

Results
The formation energy is 0.92 eV/atom. The energy above the most stable polymorph in this dataset comes out at 0.0000 eV/atom.



This record from Alexandria via LeMat-Bulk describes a relaxed structure of LiAgMo. The functional is PBE. Values from VASP.

Cell and atoms, written as Quantum ESPRESSO input:
```
&SYSTEM
  ibrav = 0, nat = 12, ntyp = 3
/
ATOMIC_SPECIES
Li 6.94 Li.upf
Ag 107.87 Ag.upf
Mo 95.94 Mo.upf
ATOMIC_POSITIONS crystal
Li 0.153 0.250 0.246
Li 0.347 0.750 0.746
Li 0.653 0.250 0.254
Li 0.847 0.750 0.754
Ag 0.097 0.250 0.607
Ag 0.403 0.750 0.107
Ag 0.597 0.250 0.893
Ag 0.903 0.750 0.393
Mo 0.103 0.250 0.938
Mo 0.397 0.750 0.438
Mo 0.603 0.250 0.562
Mo 0.897 0.750 0.062
CELL_PARAMETERS angstrom
6.078 0.000 0.000
0.000 3.290 0.000
0.000 0.000 9.584
```

Results
The formation energy is 0.27 eV/atom. The energy above the most stable polymorph in this dataset comes out at 0.0000 eV/atom.



This record from Alexandria via LeMat-Bulk describes a relaxed structure of LiAg2Mo. The functional is PBE. Values from VASP.

Cell and atoms, written as Quantum ESPRESSO input:
```
&SYSTEM
  ibrav = 0, nat = 4, ntyp = 3
/
ATOMIC_SPECIES
Li 6.94 Li.upf
Ag 107.87 Ag.upf
Mo 95.94 Mo.upf
ATOMIC_POSITIONS crystal
Li 0.000 0.000 0.000
Ag 0.251 0.251 0.802
Ag 0.504 0.504 0.498
Mo 0.757 0.757 0.300
CELL_PARAMETERS angstrom
4.856 -1.352 0.000
4.856 1.352 0.000
-0.583 0.000 5.076
```

Results
The formation energy is 0.37 eV/atom. The energy above the most stable polymorph in this dataset comes out at 0.1529 eV/atom.



This record from Alexandria via LeMat-Bulk describes a relaxed structure of LiAgMo. The functional is PBE. Values from VASP.

Cell and atoms, written as Quantum ESPRESSO input:
```
&SYSTEM
  ibrav = 0, nat = 3, ntyp = 3
/
ATOMIC_SPECIES
Li 6.94 Li.upf
Ag 107.87 Ag.upf
Mo 95.94 Mo.upf
ATOMIC_POSITIONS crystal
Li 0.000 0.000 0.000
Ag 0.333 0.667 0.679
Mo 0.667 0.333 0.337
CELL_PARAMETERS angstrom
2.766 0.000 0.000
-1.383 2.396 0.000
0.000 0.000 7.350
```

Results
The formation energy is 0.34 eV/atom. The energy above the most stable polymorph in this dataset comes out at 0.0719 eV/atom.



This record from Alexandria via LeMat-Bulk describes a relaxed structure of LiAg2Mo. The functional is PBE. Values from VASP.

Cell and atoms, written as Quantum ESPRESSO input:
```
&SYSTEM
  ibrav = 0, nat = 8, ntyp = 3
/
ATOMIC_SPECIES
Li 6.94 Li.upf
Ag 107.87 Ag.upf
Mo 95.94 Mo.upf
ATOMIC_POSITIONS crystal
Li 0.000 0.000 0.000
Li 0.750 0.250 0.500
Ag 0.093 0.625 0.968
Ag 0.375 0.343 0.468
Ag 0.657 0.125 0.032
Ag 0.875 0.907 0.532
Mo 0.250 0.750 0.500
Mo 0.500 0.500 0.000
CELL_PARAMETERS angstrom
-3.626 3.626 2.760
3.626 -3.626 2.760
3.626 3.626 -2.760
```

Results
The formation energy is 0.81 eV/atom. The energy above the most stable polymorph in this dataset comes out at 0.5927 eV/atom.



This record from Alexandria via LeMat-Bulk describes a relaxed structure of LiAg2Mo. The functional is PBE. Values from VASP.

Cell and atoms, written as Quantum ESPRESSO input:
```
&SYSTEM
  ibrav = 0, nat = 4, ntyp = 3
/
ATOMIC_SPECIES
Li 6.94 Li.upf
Ag 107.87 Ag.upf
Mo 95.94 Mo.upf
ATOMIC_POSITIONS crystal
Li 0.000 0.000 0.000
Ag 0.511 0.511 0.000
Ag 0.766 0.266 0.500
Mo 0.260 0.760 0.500
CELL_PARAMETERS angstrom
-1.350 2.485 4.996
1.350 -2.485 4.996
1.350 2.485 -4.996
```

Results
The formation energy is 0.44 eV/atom. The energy above the most stable polymorph in this dataset comes out at 0.2287 eV/atom.



This record from Alexandria via LeMat-Bulk describes a relaxed structure of LiAg2Mo. The functional is PBE. Values from VASP.

Cell and atoms, written as Quantum ESPRESSO input:
```
&SYSTEM
  ibrav = 0, nat = 4, ntyp = 3
/
ATOMIC_SPECIES
Li 6.94 Li.upf
Ag 107.87 Ag.upf
Mo 95.94 Mo.upf
ATOMIC_POSITIONS crystal
Li 0.000 0.000 0.000
Ag 0.500 0.500 0.500
Ag 0.750 0.750 0.750
Mo 0.250 0.250 0.250
CELL_PARAMETERS angstrom
0.000 3.190 3.190
3.190 0.000 3.190
3.190 3.190 0.000
```

Results
The formation energy is 0.64 eV/atom. The energy above the most stable polymorph in this dataset comes out at 0.4202 eV/atom.



This record from Alexandria via LeMat-Bulk describes a relaxed structure of LiAg2Mo. The functional is PBE. Values from VASP.

Cell and atoms, written as Quantum ESPRESSO input:
```
&SYSTEM
  ibrav = 0, nat = 4, ntyp = 3
/
ATOMIC_SPECIES
Li 6.94 Li.upf
Ag 107.87 Ag.upf
Mo 95.94 Mo.upf
ATOMIC_POSITIONS crystal
Li 0.000 0.000 0.000
Ag 0.500 0.500 0.238
Ag 0.500 0.500 0.762
Mo 0.000 0.000 0.500
CELL_PARAMETERS angstrom
2.750 0.000 0.000
0.000 2.750 0.000
0.000 0.000 8.505
```

Results
The formation energy is 0.22 eV/atom. The energy above the most stable polymorph in this dataset comes out at 0.0000 eV/atom.



This record from Alexandria via LeMat-Bulk describes a relaxed structure of LiAgMo. The functional is PBE. Values from VASP.

Cell and atoms, written as Quantum ESPRESSO input:
```
&SYSTEM
  ibrav = 0, nat = 6, ntyp = 3
/
ATOMIC_SPECIES
Li 6.94 Li.upf
Ag 107.87 Ag.upf
Mo 95.94 Mo.upf
ATOMIC_POSITIONS crystal
Li 0.333 0.667 0.250
Li 0.667 0.333 0.750
Ag 0.000 0.000 0.250
Ag 0.000 0.000 0.750
Mo 0.000 0.000 0.000
Mo 0.000 0.000 0.500
CELL_PARAMETERS angstrom
4.090 0.000 0.000
-2.045 3.542 0.000
0.000 0.000 10.968
```

Results
The formation energy is 1.70 eV/atom. The energy above the most stable polymorph in this dataset comes out at 1.4296 eV/atom.



This record from Alexandria via LeMat-Bulk describes a relaxed structure of LiAg2Mo. The functional is PBE. Values from VASP.

Cell and atoms, written as Quantum ESPRESSO input:
```
&SYSTEM
  ibrav = 0, nat = 4, ntyp = 3
/
ATOMIC_SPECIES
Li 6.94 Li.upf
Ag 107.87 Ag.upf
Mo 95.94 Mo.upf
ATOMIC_POSITIONS crystal
Li 0.000 0.000 0.000
Ag 0.253 0.253 0.253
Ag 0.747 0.747 0.747
Mo 0.500 0.500 0.500
CELL_PARAMETERS angstrom
1.409 0.814 9.581
-1.409 0.814 9.581
0.000 -1.627 9.581
```

Results
The formation energy is 0.27 eV/atom. The energy above the most stable polymorph in this dataset comes out at 0.0540 eV/atom.



This record from Alexandria via LeMat-Bulk describes a relaxed structure of LiAg2Mo. The functional is PBE. Values from VASP.

Cell and atoms, written as Quantum ESPRESSO input:
```
&SYSTEM
  ibrav = 0, nat = 4, ntyp = 3
/
ATOMIC_SPECIES
Li 6.94 Li.upf
Ag 107.87 Ag.upf
Mo 95.94 Mo.upf
ATOMIC_POSITIONS crystal
Li 0.000 0.000 0.000
Ag 0.250 0.250 0.250
Ag 0.750 0.750 0.750
Mo 0.500 0.500 0.500
CELL_PARAMETERS angstrom
0.000 3.210 3.210
3.210 0.000 3.210
3.210 3.210 0.000
```

Results
The formation energy is 0.56 eV/atom. The energy above the most stable polymorph in this dataset comes out at 0.3429 eV/atom.